No. 1
The following is a PBE calculation of a relaxed structure of Ti2CoS4, from Alexandria via LeMat-Bulk.

Output
The calculation puts the density of states at the Fermi level at 5.63 states/eV/cell. Its uncorrected energy is -42.45 eV for the cell shown. The uncorrected formation energy is -0.4352 eV/atom. The energy relative to the lowest polymorph listed for this composition is 696 meV per atom.

Unit cell a=4.4408 b=4.4408 c=6.7942 alpha=70.92 beta=70.92 gamma=90.00
Sites, in units of the cell vectors:
Ti (0.3806, 0.3806, 0.2387)
Co (0.0000, 0.0000, 0.0000)
S (0.5000, 0.0000, 0.0000)
Ti (0.6194, 0.6194, 0.7613)
S (0.0000, 0.5000, 0.0000)
S (0.1921, 0.1921, 0.6157)
S (0.8079, 0.8079, 0.3843)

=====

No. 2
The following is a PBE calculation of a relaxed structure of Rb2ZnCuBr6, from Alexandria via LeMat-Bulk.

Output
The calculation puts the density of states at the Fermi level at 7.57 states/eV/cell. Its uncorrected energy is -27.07 eV for the cell shown. The uncorrected formation energy is -0.9723 eV/atom.

Unit cell a=7.4503 b=7.4503 c=7.4548 alpha=60.02 beta=60.02 gamma=90.00
Sites, in units of the cell vectors:
Rb (0.2500, 0.7500, 0.5000)
Br (0.2517, 0.7483, 0.0000)
Br (0.2517, 0.2517, 0.0000)
Br (0.2515, 0.2515, 0.4969)
Br (0.7483, 0.7483, 0.0000)
Rb (0.7500, 0.2500, 0.5000)
Br (0.7483, 0.2517, 0.0000)
Br (0.7485, 0.7485, 0.5031)
Cu (0.5000, 0.5000, 0.0000)
Zn (0.0000, 0.0000, 0.0000)

=====

No. 3
The following is a PBE calculation of a relaxed structure of Nb2TcGe2, from Alexandria via LeMat-Bulk.

Output
The calculation puts the density of states at the Fermi level at 17.99 states/eV/cell. The formation energy comes out at -0.312 eV per atom. Its uncorrected energy is -165.20 eV for the cell shown. The energy relative to the lowest polymorph listed for this composition is 0 meV per atom.

Unit cell a=6.6063 b=6.6063 c=7.4748 alpha=90.00 beta=90.00 gamma=90.00
Sites, in units of the cell vectors:
Ge (0.3618, 0.8618, 0.2500)
Nb (0.3429, 0.1752, 0.5000)
Ge (0.3618, 0.8618, 0.7500)
Nb (0.8248, 0.3429, 0.5000)
Ge (0.8618, 0.6382, 0.2500)
Ge (0.8618, 0.6382, 0.7500)
Ge (0.6382, 0.1382, 0.2500)
Tc (0.0000, 0.0000, 0.7048)
Nb (0.3248, 0.1571, 0.0000)
Tc (0.5000, 0.5000, 0.2048)
Nb (0.1752, 0.6571, 0.5000)
Ge (0.1382, 0.3618, 0.7500)
Tc (0.5000, 0.5000, 0.7952)
Nb (0.6571, 0.8248, 0.5000)
Nb (0.8429, 0.3248, 0.0000)
Nb (0.6752, 0.8429, 0.0000)
Ge (0.1382, 0.3618, 0.2500)
Nb (0.1571, 0.6752, 0.0000)
Tc (0.0000, 0.0000, 0.2952)
Ge (0.6382, 0.1382, 0.7500)

=====

No. 4
The following is a PBE calculation of a relaxed structure of NdScHgBi, from Alexandria via LeMat-Bulk.

Output
The calculation puts the density of states at the Fermi level at 3.95 states/eV/cell. The formation energy comes out at -0.450 eV per atom. Its uncorrected energy is -17.08 eV for the cell shown.

Unit cell a=5.3371 b=5.3371 c=5.3371 alpha=60.00 beta=60.00 gamma=60.00
Sites, in units of the cell vectors:
Hg (0.2500, 0.2500, 0.2500)
Sc (0.0000, 0.0000, 0.0000)
Nd (0.5000, 0.5000, 0.5000)
Bi (0.7500, 0.7500, 0.7500)

=====

No. 5
The following is a PBE calculation of a relaxed structure of CaTmIn4, from Alexandria via LeMat-Bulk.

Output
The calculation puts the density of states at the Fermi level at 3.12 states/eV/cell. The formation energy comes out at -0.345 eV per atom. Its uncorrected energy is -19.49 eV for the cell shown. The energy relative to the lowest polymorph listed for this composition is 0 meV per atom.

Unit cell a=3.5940 b=4.9778 c=8.6972 alpha=90.00 beta=90.05 gamma=90.00
Sites, in units of the cell vectors:
In (0.0339, 0.0000, 0.6636)
In (0.0208, 0.5000, 0.1693)
In (0.9661, 0.0000, 0.3364)
Tm (0.5000, 0.5000, 0.5000)
Ca (0.5000, 0.0000, 0.0000)
In (0.9792, 0.5000, 0.8307)

=====

No. 6
The following is a PBE calculation of a relaxed structure of MgBeRh2, from Alexandria via LeMat-Bulk.

Output
The calculation puts the density of states at the Fermi level at 5.61 states/eV/cell. The formation energy comes out at 0.140 eV per atom. Its uncorrected energy is -38.92 eV for the cell shown. The energy relative to the lowest polymorph listed for this composition is 629 meV per atom.

Unit cell a=3.9226 b=3.9226 c=8.5170 alpha=76.69 beta=76.69 gamma=90.00
Sites, in units of the cell vectors:
Rh (0.5693, 0.1250, 0.2500)
Mg (0.0000, 0.0000, 0.0000)
Be (0.2500, 0.7500, 0.5000)
Rh (0.1807, 0.6250, 0.2500)
Rh (0.8750, 0.8193, 0.7500)
Be (0.5000, 0.5000, 0.0000)
Rh (0.3750, 0.4307, 0.7500)
Mg (0.7500, 0.2500, 0.5000)

=====

No. 7
The following is a PBE calculation of a relaxed structure of Pm2PaFe2N6, from Alexandria via LeMat-Bulk.

Output
The calculation puts the density of states at the Fermi level at 3.01 states/eV/cell. Its uncorrected energy is -93.58 eV for the cell shown. The uncorrected formation energy is -0.7004 eV/atom.

Unit cell a=5.6613 b=5.6613 c=6.6299 alpha=64.73 beta=64.73 gamma=60.00
Sites, in units of the cell vectors:
N (0.7734, 0.2538, 0.7190)
Pa (0.0000, 0.0000, 0.0000)
Pm (0.7914, 0.7914, 0.6257)
N (0.7462, 0.7462, 0.2810)
N (0.2538, 0.7734, 0.7190)
Pm (0.2086, 0.2086, 0.3743)
N (0.7462, 0.2266, 0.2810)
Fe (0.4081, 0.4081, 0.7756)
N (0.2266, 0.7462, 0.2810)
Fe (0.5919, 0.5919, 0.2244)
N (0.2538, 0.2538, 0.7190)

=====

No. 8
The following is a PBE calculation of a relaxed structure of LaCePr2Se4, from Alexandria via LeMat-Bulk.

Output
The calculation puts the density of states at the Fermi level at 18.30 states/eV/cell. Its uncorrected energy is -98.81 eV for the cell shown. The uncorrected formation energy is -1.8810 eV/atom.

Unit cell a=8.5289 b=8.5289 c=8.5234 alpha=119.99 beta=119.99 gamma=89.97
Sites, in units of the cell vectors:
Pr (0.5000, 0.0000, 0.5000)
Pr (0.5000, 0.0000, 0.0000)
Se (0.2483, 0.2522, 0.9991)
Pr (0.5000, 0.5000, 0.0000)
Se (0.2458, 0.7470, 0.4963)
Se (0.7542, 0.2530, 0.5037)
La (0.0000, 0.0000, 0.0000)
Se (0.7517, 0.7478, 0.0009)
Se (0.7530, 0.2542, 0.0037)
Pr (0.0000, 0.0000, 0.5000)
Ce (0.0000, 0.5000, 0.0000)
La (0.5000, 0.5000, 0.5000)
Se (0.2478, 0.2517, 0.5009)
Se (0.7522, 0.7483, 0.4991)
Ce (0.0000, 0.5000, 0.5000)
Se (0.2470, 0.7458, 0.9963)